Entry 1:
Cs12Cd5Br3: relaxed, GGA-PBE.

Energy relative to the elements, uncorrected in eV/f.u.: -7.00
Energy in eV per atom: -1.342
DOS(E_F) in states/eV per atom: 0.893
Total magnetic moment in μB/f.u.: 0.9

Unit cell a=22.536 b=22.536 c=22.536 alpha=90.00 beta=90.00 gamma=90.00
Space group Ia-3d (No. 230)
Inequivalent atoms, fractional coordinates:
Cs  0.027  0.087  0.647 [96 per cell]
Cd  0.000  0.000  0.000 [16 per cell]
Cd  0.000  0.250  0.375 [24 per cell]
Br  0.000  0.250  0.125 [24 per cell]

***

Entry 2:
AlTlRh: relaxed, GGA-PBE.

Energy in eV per atom: -4.726
E_form in eV per atom: -0.24
DOS(E_F) in states/eV per atom: 0.422
Offset from the most stable computed form in eV/f.u.: 0.00
Total magnetic moment in μB/f.u.: 0.0

Unit cell a=3.305 b=3.349 c=9.851 alpha=90.00 beta=90.00 gamma=90.00
Space group Imm2 (No. 44)
Inequivalent atoms, fractional coordinates:
Al  0.000  0.000  0.000 [2 per cell]
Tl  0.000  0.000  0.292 [2 per cell]
Rh  0.000  0.000  0.592 [2 per cell]

***

Entry 3:
PrSmDyAl: relaxed, GGA-PBE.

Energy in eV per atom: -4.641
E_form in eV per atom: -0.18
DOS(E_F) in states/eV per atom: 0.851
Offset from the most stable computed form in eV/f.u.: 0.00
Total magnetic moment in μB/f.u.: 0.0

Unit cell a=3.567 b=3.567 c=9.238 alpha=90.00 beta=90.00 gamma=90.00
Space group P4mm (No. 99)
Inequivalent atoms, fractional coordinates:
Pr  0.000  0.000  0.000 [1 per cell]
Sm  0.500  0.500  0.703 [1 per cell]
Dy  0.500  0.500  0.286 [1 per cell]
Al  0.000  0.000  0.489 [1 per cell]